(1)
! DySn2Ge2Pt7 PBE relaxed; values from VASP
&SYSTEM
  ibrav = 0, nat = 12, ntyp = 4
/
ATOMIC_SPECIES
Pt 195.08 Pt.upf
Dy 162.50 Dy.upf
Sn 118.71 Sn.upf
Ge 72.64 Ge.upf
CELL_PARAMETERS angstrom
-0.9575 -3.2067 -2.0968
3.7114 -0.2381 -1.3285
5.1379 -10.7930 10.4795
ATOMIC_POSITIONS angstrom
Pt 1.4331 -4.6126 -1.0386
Pt 6.4587 -9.6252 8.0928
Pt 1.3770 -1.7224 -1.7127
Pt 3.7674 -3.1283 -0.6545
Pt 5.0253 -8.9208 3.9301
Pt 4.1244 -11.1094 7.7087
Pt 2.8665 -5.3170 3.1241
Dy 0.0000 0.0000 0.0000
Sn 3.5356 -6.9291 5.2873
Sn 4.3562 -7.3086 1.7669
Ge 2.2825 -3.9017 1.2051
Ge 5.6093 -10.3360 5.8491
! **Density of states at the Fermi level**: 3.23 states/eV/f.u.
! **Energy relative to the elements**: -0.619 eV per atom
! **Symmetry**: No. 12
! **Uncorrected energy**: -5.9627 eV per atom

***

(2)
! SrDyGe2Pt5 PBE relaxed; values from VASP
&SYSTEM
  ibrav = 0, nat = 9, ntyp = 4
/
ATOMIC_SPECIES
Pt 195.08 Pt.upf
Sr 87.62 Sr.upf
Ge 72.64 Ge.upf
Dy 162.50 Dy.upf
CELL_PARAMETERS angstrom
4.8539 0.0000 0.0000
0.0000 4.8539 0.0000
0.0000 0.0000 8.3194
ATOMIC_POSITIONS angstrom
Pt 2.4270 0.0000 6.7401
Pt 2.4270 2.4270 4.1597
Pt 2.4270 0.0000 1.5792
Pt 0.0000 2.4270 6.7401
Pt 0.0000 2.4270 1.5792
Sr 0.0000 0.0000 4.1597
Ge 2.4270 2.4270 1.7311
Ge 2.4270 2.4270 6.5883
Dy 0.0000 0.0000 0.0000
! **Density of states at the Fermi level**: 3.02 states/eV/f.u.
! **Energy relative to the elements**: -0.594 eV per atom
! **Symmetry**: No. 123
! **Uncorrected energy**: -5.6747 eV per atom

***

(3)
! Dy2TaGe3Pt4 PBE relaxed; values from VASP
&SYSTEM
  ibrav = 0, nat = 10, ntyp = 4
/
ATOMIC_SPECIES
Dy 162.50 Dy.upf
Ge 72.64 Ge.upf
Ta 180.95 Ta.upf
Pt 195.08 Pt.upf
CELL_PARAMETERS angstrom
4.1783 0.0000 0.0000
0.0000 4.1783 0.0000
0.0000 0.0000 10.9141
ATOMIC_POSITIONS angstrom
Dy 0.0000 2.0891 8.3896
Dy 2.0891 0.0000 2.5245
Ge 0.0000 0.0000 5.4571
Ge 0.0000 2.0891 1.5059
Ge 2.0891 0.0000 9.4082
Ta 2.0891 2.0891 5.4571
Pt 0.0000 0.0000 0.0000
Pt 2.0891 0.0000 6.9807
Pt 0.0000 2.0891 3.9335
Pt 2.0891 2.0891 0.0000
! **Density of states at the Fermi level**: 7.30 states/eV/f.u.
! **Energy relative to the elements**: -0.845 eV per atom
! **Symmetry**: No. 115
! **Uncorrected energy**: -6.7525 eV per atom

***

(4)
! TbDy2Ge2Pt7 PBE relaxed; values from VASP
&SYSTEM
  ibrav = 0, nat = 12, ntyp = 4
/
ATOMIC_SPECIES
Dy 162.50 Dy.upf
Tb 158.93 Tb.upf
Pt 195.08 Pt.upf
Ge 72.64 Ge.upf
CELL_PARAMETERS angstrom
4.0598 0.0186 -0.0519
0.0236 4.0598 -0.0519
1.8065 1.8043 13.8467
ATOMIC_POSITIONS angstrom
Dy 4.2115 4.2064 4.8740
Dy 1.6784 1.6763 8.8689
Tb 0.0000 0.0000 0.0000
Pt 1.7962 3.8107 11.6491
Pt 3.8129 1.7915 11.6491
Pt 2.0770 4.0912 2.0939
Pt 2.0417 2.0392 -0.0519
Pt 4.0937 2.0720 2.0939
Pt 2.2544 2.2516 5.9593
Pt 3.6355 3.6311 7.7837
Ge 3.8076 3.8029 10.1948
Ge 2.0823 2.0798 3.5481
! **Density of states at the Fermi level**: 4.87 states/eV/f.u.
! **Energy relative to the elements**: -0.984 eV per atom
! **Symmetry**: No. 12
! **Uncorrected energy**: -6.4302 eV per atom

***

(5)
! TbDy2Ge3Pt4 PBE relaxed; values from VASP
&SYSTEM
  ibrav = 0, nat = 10, ntyp = 4
/
ATOMIC_SPECIES
Dy 162.50 Dy.upf
Ge 72.64 Ge.upf
Pt 195.08 Pt.upf
Tb 158.93 Tb.upf
CELL_PARAMETERS angstrom
-1.0027 -0.5615 -4.0434
-0.1752 -4.1538 0.6202
-11.0841 0.8601 2.6294
ATOMIC_POSITIONS angstrom
Dy -2.9320 -0.0921 -1.4451
Dy -8.7411 -1.4054 2.3629
Ge -5.5421 0.4301 1.3147
Ge -1.4941 -1.9678 0.6438
Ge -10.1791 0.4703 0.2741
Pt -3.8522 -1.7848 1.2032
Pt -7.8209 0.2873 -0.2853
Pt 0.0000 0.0000 0.0000
Pt -0.5890 -2.3576 -1.7116
Tb -6.1310 -1.9276 -0.3969
! **Density of states at the Fermi level**: 7.57 states/eV/f.u.
! **Energy relative to the elements**: -0.932 eV per atom
! **Symmetry**: No. 115
! **Uncorrected energy**: -6.1168 eV per atom

***

(6)
! Dy8GeTe4Pt3 PBE relaxed; values from VASP
&SYSTEM
  ibrav = 0, nat = 16, ntyp = 4
/
ATOMIC_SPECIES
Te 127.60 Te.upf
Pt 195.08 Pt.upf
Dy 162.50 Dy.upf
Ge 72.64 Ge.upf
CELL_PARAMETERS angstrom
-4.3773 -7.0407 0.6259
1.2611 -0.0155 8.6445
-3.4232 6.7272 -3.4871
ATOMIC_POSITIONS angstrom
Te -3.9003 -0.1567 -1.4306
Te -1.7116 3.3636 -1.7436
Te 0.0000 0.0000 0.0000
Te -2.1887 -3.5203 0.3130
Pt -1.0810 3.3558 2.5787
Pt -3.2697 -0.1645 2.8917
Pt -1.5581 -3.5281 4.6352
Dy -4.7360 -1.8654 1.1134
Dy -5.6536 1.3817 3.2577
Dy -1.8034 1.5364 4.6700
Dy -3.0464 -5.1858 2.8345
Dy -2.5847 1.6800 0.8219
Dy -3.9548 -2.0090 4.9614
Dy -0.8858 -1.7107 2.5256
Dy -3.4931 4.8568 2.9488
Ge 0.6306 -0.0078 4.3223
! **Density of states at the Fermi level**: 10.77 states/eV/f.u.
! **Symmetry**: No. 166
! **Uncorrected energy**: -5.7335 eV per atom

***

(7)
! Dy8Ge3Te4Pt PBE relaxed; values from VASP
&SYSTEM
  ibrav = 0, nat = 16, ntyp = 4
/
ATOMIC_SPECIES
Te 127.60 Te.upf
Dy 162.50 Dy.upf
Ge 72.64 Ge.upf
Pt 195.08 Pt.upf
CELL_PARAMETERS angstrom
8.4465 0.0000 0.0000
0.0000 8.6219 0.1169
-4.2232 -4.2188 5.9761
ATOMIC_POSITIONS angstrom
Te 2.1116 -2.1094 2.9880
Te -2.1116 -2.1094 2.9880
Te 0.0000 0.0000 0.0000
Te 4.2232 0.0000 0.0000
Dy 0.0000 0.2096 3.1327
Dy 6.3331 2.3379 0.1591
Dy 0.0000 4.1730 2.9489
Dy 2.1099 2.0653 5.9339
Dy -2.1099 2.0653 5.9339
Dy 4.2232 0.2301 3.1441
Dy 4.2232 4.1935 2.9603
Dy 2.1133 2.3379 0.1591
Ge 4.2232 4.3110 0.0585
Ge -2.1116 2.2016 3.0465
Ge 2.1116 2.2016 3.0465
Pt 0.0000 4.3110 0.0585
! **Density of states at the Fermi level**: 6.38 states/eV/f.u.
! **Symmetry**: No. 166
! **Uncorrected energy**: -5.5151 eV per atom

***

(8)
! DyTh2Ge3Pt4 PBE relaxed; values from VASP
&SYSTEM
  ibrav = 0, nat = 10, ntyp = 4
/
ATOMIC_SPECIES
Pt 195.08 Pt.upf
Th 232.04 Th.upf
Dy 162.50 Dy.upf
Ge 72.64 Ge.upf
CELL_PARAMETERS angstrom
-3.4675 2.4374 -0.6643
-2.1406 -3.4338 -1.4257
-3.5316 -2.1606 10.5059
ATOMIC_POSITIONS angstrom
Pt -2.8040 -0.4982 -1.0450
Pt -2.2783 -2.4559 2.8807
Pt 0.0000 0.0000 0.0000
Pt -4.0573 -0.2028 6.5801
Th -2.5110 0.7432 1.9800
Th -3.8246 -3.4020 7.4808
Dy -4.5698 -1.5785 4.2079
Ge -4.8272 -0.6739 8.8704
Ge -1.5084 -1.9849 0.5904
Ge -1.7658 -1.0803 5.2529
! **Density of states at the Fermi level**: 7.84 states/eV/f.u.
! **Energy relative to the elements**: -0.951 eV per atom
! **Symmetry**: No. 115
! **Uncorrected energy**: -6.6965 eV per atom

***

(9)
! Dy2UGe3Pt4 PBE relaxed; values from VASP
&SYSTEM
  ibrav = 0, nat = 10, ntyp = 4
/
ATOMIC_SPECIES
Ge 72.64 Ge.upf
U 238.03 U.upf
Dy 162.50 Dy.upf
Pt 195.08 Pt.upf
CELL_PARAMETERS angstrom
4.2466 0.0000 0.0000
0.0000 4.2466 0.0000
0.0000 0.0000 11.2462
ATOMIC_POSITIONS angstrom
Ge 0.0000 2.1233 1.4177
Ge 0.0000 0.0000 5.6231
Ge 2.1233 0.0000 9.8285
U 2.1233 2.1233 5.6231
Dy 2.1233 0.0000 2.4691
Dy 0.0000 2.1233 8.7771
Pt 0.0000 2.1233 3.8474
Pt 2.1233 0.0000 7.3988
Pt 0.0000 0.0000 0.0000
Pt 2.1233 2.1233 0.0000
! **Density of states at the Fermi level**: 12.53 states/eV/f.u.
! **Energy relative to the elements**: -0.784 eV per atom
! **Symmetry**: No. 115
! **Uncorrected energy**: -6.6349 eV per atom

***

(10)
! Dy2YGe3Pt4 PBE relaxed; values from VASP
&SYSTEM
  ibrav = 0, nat = 10, ntyp = 4
/
ATOMIC_SPECIES
Ge 72.64 Ge.upf
Pt 195.08 Pt.upf
Y 88.91 Y.upf
Dy 162.50 Dy.upf
CELL_PARAMETERS angstrom
-3.7209 1.8183 0.5396
-1.4035 -1.8402 -3.4766
-3.5228 -9.0532 6.2142
ATOMIC_POSITIONS angstrom
Ge -1.1482 -2.0675 -0.9507
Ge -1.7614 -4.5266 3.1071
Ge -4.9367 -6.9967 5.6964
Pt -4.1933 -5.0861 4.3850
Pt 0.0000 0.0000 0.0000
Pt -1.8916 -3.9781 0.3607
Pt -2.5622 -0.0110 -1.4685
Y -4.3236 -4.5376 1.6386
Dy -3.4433 -7.9658 3.0979
Dy -2.6416 -1.0984 1.6478
! **Density of states at the Fermi level**: 6.68 states/eV/f.u.
! **Energy relative to the elements**: -0.935 eV per atom
! **Symmetry**: No. 115
! **Uncorrected energy**: -6.3033 eV per atom

***

(11)
! DyYGePt PBE relaxed; values from VASP
&SYSTEM
  ibrav = 0, nat = 4, ntyp = 4
/
ATOMIC_SPECIES
Ge 72.64 Ge.upf
Y 88.91 Y.upf
Pt 195.08 Pt.upf
Dy 162.50 Dy.upf
CELL_PARAMETERS angstrom
-1.3155 -1.6674 3.2996
3.6561 -2.2188 0.3364
2.8366 4.8643 1.2557
ATOMIC_POSITIONS angstrom
Ge 1.5268 -1.2836 2.2934
Y 2.7438 0.9678 3.9164
Pt 1.8162 3.3599 2.4220
Dy 0.6113 1.1309 0.8152
! **Offset from the most stable computed form**: 0.0 meV/atom
! **Density of states at the Fermi level**: 1.61 states/eV/f.u.
! **Energy relative to the elements**: -1.080 eV per atom
! **Symmetry**: No. 38
! **Uncorrected energy**: -6.5106 eV per atom

***

(12)
! DyYGePt PBE relaxed; values from VASP
&SYSTEM
  ibrav = 0, nat = 4, ntyp = 4
/
ATOMIC_SPECIES
Y 88.91 Y.upf
Pt 195.08 Pt.upf
Ge 72.64 Ge.upf
Dy 162.50 Dy.upf
CELL_PARAMETERS angstrom
5.0133 0.0000 0.0000
2.5067 4.3416 0.0000
2.5067 1.4472 4.0933
ATOMIC_POSITIONS angstrom
Y 5.0133 2.8944 2.0467
Pt 7.5200 4.3416 3.0700
Ge 2.5067 1.4472 1.0233
Dy 0.0000 0.0000 0.0000
! **Offset from the most stable computed form**: 135.9 meV/atom
! **Density of states at the Fermi level**: 0.95 states/eV/f.u.
! **Energy relative to the elements**: -0.944 eV per atom
! **Symmetry**: No. 216
! **Uncorrected energy**: -6.3747 eV per atom

***

Q: The lowest uncorrected energy belongs to which entry?
A: Dy2TaGe3Pt4

***

Q: density of states at the Fermi level of number 8 (DyTh2Ge3Pt4)?
A: 7.84 states/eV/f.u.

***

Q: Which of these has the lowest density of states at the Fermi level?
A: number 12